Entry from Alexandria: a relaxed CuAgS6 crystal (PBE).

Lattice parameters (Å, degrees): 7.7564 8.2820 7.8793 98.91 152.91 93.32
Last column: nearest neighbours and their distance in Å.
Sites, in units of the cell vectors:
S: 0.3483 0.9493 0.5259  1 S 2.06, 1 Cu 2.31
S: 0.8669 0.5023 0.1008  1 S 2.02
S: 0.6517 0.0507 0.4741  1 S 2.06, 1 Cu 2.31
S: 0.0436 0.7485 0.4026  2 S 2.02-2.06
Ag: 0.5000 0.5000 0.5000  4 S 2.55-2.56
S: 0.9564 0.2515 0.5974  2 S 2.02-2.06
Cu: 0.0000 0.0000 0.0000  4 S 2.31-2.32
S: 0.1331 0.4977 0.8992  1 S 2.02

Properties
uncorrected formation energy	0.026	eV per atom